## one
YNb3Br: optimized geometry, PBE.

Lattice parameters (Å, degrees): 5.073 5.073 5.073 90.00 90.00 90.00
Atoms (fractional coordinates):
Nb  0.500  0.000  0.000
Nb  0.000  0.500  0.000
Nb  0.000  0.000  0.500
Br  0.500  0.500  0.500
Y  0.000  0.000  0.000

Properties
space group = Pm-3m, No. 221
total magnetization = 0.00 μB per formula unit

***

## two
YNb3Br: optimized geometry, PBE.

Lattice parameters (Å, degrees): 4.842 4.842 4.842 90.00 90.00 90.00
Atoms (fractional coordinates):
Y  0.500  0.500  0.500
Nb  0.000  0.500  0.000
Nb  0.500  0.000  0.000
Nb  0.000  0.000  0.500
Br  0.000  0.000  0.000

Properties
space group = Pm-3m, No. 221
total magnetization = 0.00 μB per formula unit

***

Stability verdict: two, ahead by 1.412 eV/atom

***

## one
YNbBr3: optimized geometry, PBE.

Lattice parameters (Å, degrees): 5.249 5.249 5.249 90.00 90.00 90.00
Atoms (fractional coordinates):
Br  0.000  0.000  0.500
Br  0.500  0.000  0.000
Br  0.000  0.500  0.000
Y  0.500  0.500  0.500
Nb  0.000  0.000  0.000

Properties
space group = Pm-3m, No. 221
total magnetization = 3.79 μB per formula unit

***

## two
YNbBr3: optimized geometry, PBE.

Lattice parameters (Å, degrees): 5.558 5.558 5.558 90.00 90.00 90.00
Atoms (fractional coordinates):
Y  0.000  0.000  0.000
Nb  0.500  0.500  0.500
Br  0.500  0.000  0.000
Br  0.000  0.000  0.500
Br  0.000  0.500  0.000

Properties
space group = Pm-3m, No. 221
total magnetization = 4.92 μB per formula unit

***

Stability verdict: two, ahead by 0.093 eV/atom

***

## one
NbZnBr2: optimized geometry, PBE.

Lattice parameters (Å, degrees): 4.794 4.794 4.794 60.00 60.00 60.00
Atoms (fractional coordinates):
Zn  0.000  0.000  0.000
Br  0.250  0.250  0.250
Br  0.750  0.750  0.750
Nb  0.500  0.500  0.500

Properties
space group = Fm-3m, No. 225
total magnetization = 0.00 μB per formula unit

***

## two
NbZnBr2: optimized geometry, PBE.

Lattice parameters (Å, degrees): 9.380 9.380 7.185 49.25 49.25 90.00
Atoms (fractional coordinates):
Br  0.767  0.125  0.250
Br  0.875  0.017  0.750
Br  0.983  0.625  0.250
Br  0.375  0.233  0.750
Nb  0.750  0.250  0.500
Nb  0.000  0.000  0.000
Zn  0.500  0.500  0.000
Zn  0.250  0.750  0.500

Properties
space group = I-42d, No. 122
total magnetization = 2.34 μB per formula unit

***

Stability verdict: two, ahead by 0.346 eV/atom

***

## one
ZrNbBr3: optimized geometry, PBE.

Lattice parameters (Å, degrees): 5.319 5.319 5.319 90.00 90.00 90.00
Atoms (fractional coordinates):
Zr  0.000  0.000  0.000
Br  0.000  0.000  0.500
Br  0.000  0.500  0.000
Br  0.500  0.000  0.000
Nb  0.500  0.500  0.500

Properties
space group = Pm-3m, No. 221
total magnetization = 4.45 μB per formula unit

***

## two
ZrNbBr3: optimized geometry, PBE.

Lattice parameters (Å, degrees): 5.242 5.242 5.242 90.00 90.00 90.00
Atoms (fractional coordinates):
Br  0.500  0.000  0.000
Br  0.000  0.000  0.500
Br  0.000  0.500  0.000
Nb  0.000  0.000  0.000
Zr  0.500  0.500  0.500

Properties
space group = Pm-3m, No. 221
total magnetization = 5.36 μB per formula unit

***

Stability verdict: one, ahead by 0.132 eV/atom

***

## one
NdOsBr: optimized geometry, PBE.

Lattice parameters (Å, degrees): 4.233 4.233 11.812 79.68 79.68 60.00
Atoms (fractional coordinates):
Br  0.719  0.719  0.844
Br  0.281  0.281  0.156
Nd  0.440  0.440  0.681
Nd  0.560  0.560  0.319
Os  0.837  0.837  0.489
Os  0.163  0.163  0.511

Properties
space group = R-3m, No. 166
total magnetization = 0.00 μB per formula unit

***

## two
NdOsBr: optimized geometry, PBE.

Lattice parameters (Å, degrees): 4.254 4.252 11.773 79.70 79.59 59.98
Atoms (fractional coordinates):
Br  0.321  0.009  0.350
Br  0.552  0.234  0.662
Nd  0.163  0.847  0.826
Nd  0.042  0.730  0.185
Os  0.769  0.456  0.006
Os  0.436  0.123  0.006

Properties
space group = Cm, No. 8
total magnetization = 0.00 μB per formula unit

***

## three
NdOsBr: optimized geometry, PBE.

Lattice parameters (Å, degrees): 3.840 8.956 14.730 152.26 82.51 77.62
Atoms (fractional coordinates):
Br  0.146  0.492  0.216
Br  0.854  0.508  0.784
Os  0.696  0.870  0.738
Os  0.304  0.130  0.262
Nd  0.751  0.105  0.393
Nd  0.249  0.895  0.607

Properties
space group = C2/m, No. 12
total magnetization = 0.00 μB per formula unit

***

Stability verdict: one, ahead by 0.012 eV/atom

***

## one
Nd2OsBr: optimized geometry, PBE.

Lattice parameters (Å, degrees): 4.145 4.145 8.149 75.27 75.27 60.00
Atoms (fractional coordinates):
Br  0.500  0.500  0.500
Nd  0.268  0.268  0.197
Nd  0.732  0.732  0.803
Os  0.000  0.000  0.000

Properties
space group = R-3m, No. 166
total magnetization = 0.00 μB per formula unit

***

## two
Nd2OsBr: optimized geometry, PBE.

Lattice parameters (Å, degrees): 3.471 3.471 8.367 90.00 90.00 90.00
Atoms (fractional coordinates):
Os  0.500  0.500  0.000
Br  0.500  0.500  0.500
Nd  0.000  0.000  0.790
Nd  0.000  0.000  0.210

Properties
space group = P4/mmm, No. 123
total magnetization = 0.00 μB per formula unit

***

Stability verdict: two, ahead by 0.029 eV/atom

***

## one
Pm2NdBr: optimized geometry, PBE.

Lattice parameters (Å, degrees): 3.741 3.741 10.705 79.94 79.94 60.00
Atoms (fractional coordinates):
Nd  0.500  0.500  0.500
Pm  0.258  0.258  0.225
Pm  0.742  0.742  0.775
Br  0.000  0.000  0.000

Properties
space group = R-3m, No. 166
total magnetization = 0.00 μB per formula unit

***

## two
Pm2NdBr: optimized geometry, PBE.

Lattice parameters (Å, degrees): 3.746 3.746 10.811 80.02 80.02 60.00
Atoms (fractional coordinates):
Pm  0.074  0.074  0.777
Pm  0.259  0.259  0.222
Nd  0.500  0.500  0.500
Br  0.667  0.667  0.000

Properties
space group = R3m, No. 160
total magnetization = 0.93 μB per formula unit

***

Stability verdict: one, ahead by 0.033 eV/atom

***

## one
PmNdBr4: optimized geometry, PBE.

Lattice parameters (Å, degrees): 8.112 8.182 8.163 120.07 119.79 90.00
Atoms (fractional coordinates):
Pm  0.500  0.000  0.000
Pm  0.500  0.500  0.000
Br  0.756  0.276  0.513
Br  0.756  0.737  0.513
Br  0.244  0.724  0.487
Br  0.243  0.259  0.018
Br  0.225  0.741  0.982
Br  0.244  0.263  0.487
Br  0.775  0.259  0.018
Br  0.757  0.741  0.982
Nd  0.500  0.000  0.500
Nd  0.000  0.000  0.500

Properties
space group = Imma, No. 74
total magnetization = 0.00 μB per formula unit

***

## two
PmNdBr4: optimized geometry, PBE.

Lattice parameters (Å, degrees): 5.852 5.852 7.054 114.51 114.51 90.00
Atoms (fractional coordinates):
Br  0.514  0.014  0.028
Br  0.762  0.762  0.525
Br  0.238  0.238  0.475
Br  0.986  0.486  0.972
Pm  0.500  0.500  0.000
Nd  0.250  0.750  0.500

Properties
space group = I-4m2, No. 119
total magnetization = 0.00 μB per formula unit

***

Stability verdict: one, ahead by 0.035 eV/atom

***

## one
Pm2NdBr6: optimized geometry, PBE.

Lattice parameters (Å, degrees): 7.069 7.069 8.244 64.62 64.62 60.00
Atoms (fractional coordinates):
Br  0.597  0.911  0.243
Br  0.911  0.249  0.243
Br  0.753  0.412  0.755
Br  0.249  0.597  0.243
Br  0.080  0.753  0.755
Br  0.412  0.080  0.755
Pm  0.498  0.498  0.505
Pm  0.832  0.832  0.505
Nd  0.335  0.335  0.996

Properties
space group = R3, No. 146
total magnetization = 1.11 μB per formula unit

***

## two
Pm2NdBr6: optimized geometry, PBE.

Lattice parameters (Å, degrees): 4.018 8.409 10.943 114.87 90.00 103.82
Atoms (fractional coordinates):
Br  0.353  0.707  0.459
Br  0.301  0.602  0.891
Br  0.015  0.030  0.788
Br  0.985  0.970  0.212
Br  0.647  0.293  0.541
Br  0.699  0.398  0.109
Nd  0.000  0.000  0.500
Pm  0.651  0.303  0.808
Pm  0.349  0.697  0.192

Properties
space group = C2/m, No. 12
total magnetization = 0.00 μB per formula unit

***

Stability verdict: two, ahead by 0.101 eV/atom

***

## one
PmNd2Br: optimized geometry, PBE.

Lattice parameters (Å, degrees): 3.748 3.748 10.795 80.00 80.00 60.00
Atoms (fractional coordinates):
Br  0.000  0.000  0.000
Pm  0.500  0.500  0.500
Nd  0.258  0.258  0.226
Nd  0.742  0.742  0.774

Properties
space group = R-3m, No. 166
total magnetization = 0.00 μB per formula unit

***

## two
PmNd2Br: optimized geometry, PBE.

Lattice parameters (Å, degrees): 3.759 3.759 10.852 80.03 80.03 60.00
Atoms (fractional coordinates):
Pm  0.500  0.500  0.500
Nd  0.259  0.259  0.224
Nd  0.075  0.075  0.776
Br  0.667  0.667  0.000

Properties
space group = R3m, No. 160
total magnetization = 0.97 μB per formula unit

***

Stability verdict: one, ahead by 0.021 eV/atom

***

## one
PmNdSeBr: optimized geometry, PBE.

Lattice parameters (Å, degrees): 5.179 5.179 5.179 60.00 60.00 60.00
Atoms (fractional coordinates):
Se  0.250  0.250  0.250
Nd  0.500  0.500  0.500
Pm  0.000  0.000  0.000
Br  0.750  0.750  0.750

Properties
space group = F-43m, No. 216
total magnetization = 0.00 μB per formula unit

***

## two
PmNdSeBr: optimized geometry, PBE.

Lattice parameters (Å, degrees): 3.987 4.005 8.309 89.96 103.77 120.01
Atoms (fractional coordinates):
Br  0.472  0.134  0.621
Se  0.135  0.965  0.116
Nd  0.949  0.373  0.335
Pm  0.322  0.559  0.898

Properties
space group = Cm, No. 8
total magnetization = 0.00 μB per formula unit

***

Stability verdict: two, ahead by 0.095 eV/atom

***

## one
Nd2PtBr: optimized geometry, PBE.

Lattice parameters (Å, degrees): 4.212 4.212 8.247 75.20 75.20 60.00
Atoms (fractional coordinates):
Nd  0.066  0.066  0.802
Nd  0.269  0.269  0.193
Br  0.498  0.498  0.507
Pt  0.667  0.667  0.998

Properties
space group = R3m, No. 160
total magnetization = 0.00 μB per formula unit

***

## two
Nd2PtBr: optimized geometry, PBE.

Lattice parameters (Å, degrees): 4.230 4.230 8.125 105.09 90.00 120.00
Atoms (fractional coordinates):
Nd  0.267  0.035  0.302
Nd  0.733  0.965  0.698
Pt  0.000  0.500  0.500
Br  0.500  0.500  0.000

Properties
space group = R-3m, No. 166
total magnetization = 0.00 μB per formula unit

***

## three
Nd2PtBr: optimized geometry, PBE.

Lattice parameters (Å, degrees): 3.550 3.550 8.299 90.00 90.00 90.00
Atoms (fractional coordinates):
Pt  0.500  0.500  0.000
Nd  0.000  0.000  0.214
Nd  0.000  0.000  0.786
Br  0.500  0.500  0.500

Properties
space group = P4/mmm, No. 123
total magnetization = 0.00 μB per formula unit

***

Stability verdict: two, ahead by 0.022 eV/atom